[1]
Here is crystalline MgCuPd at its relaxed geometry from OQMD. Energies are from PBE-GGA.

Geometry as POSCAR:
```
MgCuPd
1.0
-2.1768 -2.9209 -2.0638
-3.1262 -2.0231 1.9138
-3.9667 0.7430 -1.1146
Cu Mg Pd
1 1 1
direct
0.0000 0.0000 0.0000
0.2500 0.2500 0.2500
0.7500 0.7500 0.7500
```

Values from the calculation:
SG: F-43m (216)

[2]
Here is crystalline HfTaNO at its relaxed geometry from OQMD. Energies are from PBE-GGA.

Geometry as POSCAR:
```
HfTaNO
1.0
-2.6037 -2.2453 -1.1875
2.1112 -2.8586 0.7760
-2.9070 -0.2753 6.8941
N O Ta Hf
2 2 2 2
direct
0.5000 0.0000 0.3046
0.0000 0.5000 0.6954
0.0000 0.0000 0.0000
0.5000 0.5000 0.0000
0.0000 0.0000 0.5000
0.5000 0.5000 0.5000
0.5000 0.0000 0.8493
0.0000 0.5000 0.1507
```

Values from the calculation:
SG: P4/nmm (129)

no.,theoretical density (Mg/m³),offset from the most stable computed form (eV/f.u.)
1,6.22,0.85
2,13.06,1.19